NdGd2: optimized geometry, GGA-PBE.

```
6
Lattice="0.000 4.704 4.704 4.704 0.000 4.704 4.704 4.704 0.000" Properties=species:S:1:pos:R:3 pbc="T T T"
Nd 1.176 1.176 1.176
Nd 8.231 8.231 8.231
Gd 4.704 2.352 2.352
Gd 2.352 4.704 2.352
Gd 2.352 2.352 4.704
Gd 4.704 4.704 4.704
```

The total energy is -10.72 eV per atom. For the energy of formation from the pure elements, the calculation gives 0.258 eV/atom. Its distance to the lowest polymorph of the same formula is 0.203 eV/atom. The total magnetization is 16.03 μB/f.u.